(1)
The following is a DFT calculation (PBE-GGA) of a geometry-optimized CsLiCoTc structure.

Properties
The energy above the most stable polymorph in this dataset is 0.000 eV per formula unit.

Cell and atoms, written as POSCAR:
```
CsLiCoTc
1.0
0.0000 3.3501 3.3501
3.3501 0.0000 3.3501
3.3501 3.3501 0.0000
Cs Li Co Tc
1 1 1 1
Cartesian
0.0000 0.0000 0.0000
1.6751 1.6751 1.6751
3.3501 3.3501 3.3501
5.0252 5.0252 5.0252
```

=====

(2)
The following is a DFT calculation (PBE-GGA) of a geometry-optimized CsLuCo structure.

Properties
The energy above the most stable polymorph in this dataset is 1.132 eV per formula unit.

Cell and atoms, written as POSCAR:
```
CsLuCo
1.0
0.0000 3.3901 3.3901
3.3901 0.0000 3.3901
3.3901 3.3901 0.0000
Cs Lu Co
1 1 1
Cartesian
0.0000 0.0000 0.0000
1.6950 1.6950 1.6950
5.0851 5.0851 5.0851
```

=====

(3)
The following is a DFT calculation (PBE-GGA) of a geometry-optimized CsLuCo structure.

Properties
The energy above the most stable polymorph in this dataset is 0.000 eV per formula unit.

Cell and atoms, written as POSCAR:
```
CsLuCo
1.0
0.0000 3.5240 3.5240
3.5240 0.0000 3.5240
3.5240 3.5240 0.0000
Cs Lu Co
1 1 1
Cartesian
0.0000 0.0000 0.0000
5.2860 5.2860 5.2860
3.5240 3.5240 3.5240
```